1.
DFT (GGA-PBE) results for ZrSbI2F after structural relaxation.

Output
- Symmetry: P4/mmm (123)
- Fermi-level density of states: 0.999 states/eV/atom
- ΔE to the lowest computed polymorph: 254 meV per atom
- Calculated total energy: -3.611 eV per atom
- Formation energy without anion corrections: -0.08 eV/atom

Cell: 5.650 5.650 4.263 Å, 90.00 90.00 90.00°
Sites, in units of the cell vectors:
F 0.000 0.000 0.000
Zr 0.500 0.500 0.500
I 0.500 0.000 0.000
Sb 0.000 0.000 0.500
I 0.000 0.500 0.000

2.
DFT (GGA-PBE) results for La2Cd2W after structural relaxation.

Output
- Symmetry: P4/mbm (127)
- Fermi-level density of states: 1.567 states/eV/atom
- Energy relative to the elements: 611 meV/atom
- ΔE to the lowest computed polymorph: 0 meV per atom
- Calculated total energy: -4.317 eV per atom

Cell: 8.701 8.701 3.523 Å, 90.00 90.00 90.00°
Sites, in units of the cell vectors:
Cd 0.384 0.884 0.000
Cd 0.884 0.616 0.000
Cd 0.116 0.384 0.000
La 0.316 0.184 0.500
La 0.816 0.316 0.500
W 0.000 0.000 0.000
La 0.184 0.684 0.500
Cd 0.616 0.116 0.000
La 0.684 0.816 0.500
W 0.500 0.500 0.000

Spin magnetization readings, ordered: 1.68 0.00 μB/f.u.